! BaNaLaSeO6, relaxed, DFT PBE; values from VASP
! magnetic moment = 0.0 μB/cell
! ΔE_f (raw) = -1.974 eV/atom
&SYSTEM
  ibrav = 0, nat = 10, ntyp = 5
/
ATOMIC_SPECIES
Ba 137.33 Ba.upf
Na 22.99 Na.upf
La 138.91 La.upf
Se 78.96 Se.upf
O 16.00 O.upf
ATOMIC_POSITIONS angstrom
Ba 0.000 0.000 0.000
Na 4.183 4.183 4.183
La 6.274 6.274 6.274
Se 2.091 2.091 2.091
O 2.091 2.091 0.252
O 2.091 0.252 2.091
O 3.931 2.091 2.091
O 0.252 2.091 2.091
O 2.091 3.931 2.091
O 2.091 2.091 3.931
CELL_PARAMETERS angstrom
0.000 4.183 4.183
4.183 0.000 4.183
4.183 4.183 0.000